La6Sm2Th | GGA-PBE | optimized geometry

## Properties
* N(E_F): 16.600 states/eV per cell
* magnetic moment: 0.000 μB/f.u.
* calculated formation energy: 0.06 eV per atom
* total DFT energy (no corrections): -5.094 eV/atom
* SG: P-6m2 (187)

a b c (Å): 3.6755 3.6755 27.6997
angles (deg): 90.00 90.00 120.00
Fractional positions:
La  0.3333  0.6667  0.4366
Sm  0.6667  0.3333  0.6696
La  0.3333  0.6667  0.2208
La  0.6667  0.3333  0.8934
Sm  0.6667  0.3333  0.3304
Th  0.3333  0.6667  0.0000
La  0.3333  0.6667  0.5634
La  0.3333  0.6667  0.7792
La  0.6667  0.3333  0.1066